MgInW2: PBEsol geometry, meta-GGA SCAN.

a = 2.7761 Å, b = 2.7761 Å, c = 9.3281 Å
α = 90.00°, β = 90.00°, γ = 106.21°
Atoms (fractional coordinates):
W: 0.0000 0.0000 0.2505
In: 0.5000 0.5000 0.5000
W: 0.0000 0.0000 0.7495
Mg: 0.5000 0.5000 0.0000

Summary:
energy of formation: 0.58 eV/atom
theoretical density: 12.2 g/cm³
energy above the most stable polymorph in this dataset: 240.9 meV/atom
SG: Cmmm, No. 65
uncorrected energy: -175.40 eV for the cell shown